YSe2Br (PBE, optimized geometry); mass density = 5.78 g/cm³; relative energy among the computed polymorphs = 0.569 eV/atom; total moment = 0.00 μB per formula unit; formation energy without anion corrections = -0.6938 eV/atom
1.0
5.101 0.000 0.000
2.550 4.417 0.000
2.550 1.472 4.165
Br Y Se
1 1 2
Direct
0.500 0.500 0.500
0.750 0.750 0.750
0.250 0.250 0.250
0.000 0.000 0.000